Version one
Density functional theory data (PBE) for a relaxed YEr2Tm5 crystal.

The structure in POSCAR format:
```
YEr2Tm5
1.0
11.1850 0.1048 -1.8572
-5.4924 7.6187 0.6347
-7.4992 -0.2393 7.0479
Y Er Tm
2 4 10
direct
0.7657 0.5527 0.7795 Y
0.2343 0.4473 0.2205 Y
0.7117 0.6091 0.3698 Er
0.9282 0.6291 0.2308 Er
0.2883 0.3909 0.6302 Er
0.0718 0.3709 0.7692 Er
0.1007 0.9471 0.0019 Tm
0.8561 0.9967 0.5068 Tm
0.4826 0.8070 0.4970 Tm
0.2872 0.8131 0.9605 Tm
0.5476 0.2475 0.1653 Tm
0.4524 0.7525 0.8347 Tm
0.5174 0.1930 0.5030 Tm
0.7128 0.1869 0.0395 Tm
0.8993 0.0529 0.9981 Tm
0.1439 0.0033 0.4932 Tm
```

Values from the calculation:
As for the space group: P-1 (2).

Version two
Density functional theory data (PBE) for a relaxed YEr2Tm5 crystal.

The structure in POSCAR format:
```
YEr2Tm5
1.0
4.9464 0.0000 0.0000
0.0000 7.0024 0.0000
0.0000 0.0000 14.0071
Y Er Tm
2 4 10
direct
0.0000 0.0000 0.5000 Y
0.0000 0.5000 0.0000 Y
0.5000 0.2504 0.6255 Er
0.5000 0.7496 0.3745 Er
0.5000 0.2496 0.1255 Er
0.5000 0.7504 0.8745 Er
0.0000 0.0000 0.0000 Tm
0.0000 0.5000 0.5000 Tm
0.0000 0.4997 0.7491 Tm
0.0000 0.5003 0.2509 Tm
0.0000 0.0003 0.2491 Tm
0.0000 0.9997 0.7509 Tm
0.5000 0.2491 0.8744 Tm
0.5000 0.7509 0.1256 Tm
0.5000 0.2509 0.3744 Tm
0.5000 0.7491 0.6256 Tm
```

Values from the calculation:
As for the space group: Pbam (55).

Energy above the most stable structure, in meV per atom: version one 108; version two 0

Version one
Density functional theory data (PBE) for a relaxed YEr6Tm4 crystal.

The structure in POSCAR format:
```
YEr6Tm4
1.0
7.4562 0.0000 0.0000
0.0000 7.4562 0.0000
-3.7281 -3.7281 6.5866
Y Er Tm
1 6 4
direct
0.5000 0.5000 0.0000 Y
0.9241 0.4466 0.3707 Er
0.4466 0.9241 0.3707 Er
0.5534 0.5534 0.6293 Er
0.0000 0.5000 0.0000 Er
0.0759 0.0759 0.6293 Er
0.5000 0.0000 0.0000 Er
0.0822 0.7586 0.8408 Tm
0.9178 0.9178 0.1592 Tm
0.7586 0.0822 0.8408 Tm
0.2414 0.2414 0.1592 Tm
```

Values from the calculation:
As for the space group: I-42m (121).

Version two
Density functional theory data (PBE) for a relaxed YEr6Tm4 crystal.

The structure in POSCAR format:
```
YEr6Tm4
1.0
5.5700 0.0000 0.0000
-2.7850 4.7935 0.0000
0.0000 0.0000 25.3834
Y Er Tm
2 12 8
direct
0.8278 0.6556 0.2500 Y
0.1722 0.3444 0.7500 Y
0.5000 0.0000 0.0000 Er
0.5000 0.0000 0.5000 Er
0.1610 0.3220 0.3189 Er
0.8390 0.6780 0.6811 Er
0.8390 0.6780 0.8189 Er
0.1610 0.3220 0.1811 Er
0.8284 0.6567 0.3973 Er
0.1716 0.3433 0.6027 Er
0.1716 0.3433 0.8973 Er
0.8284 0.6567 0.1027 Er
0.4941 0.9881 0.2500 Er
0.5059 0.0119 0.7500 Er
0.8352 0.6703 0.5419 Tm
0.4941 0.9881 0.1216 Tm
0.1648 0.3297 0.4581 Tm
0.5059 0.0119 0.8784 Tm
0.8352 0.6703 0.9581 Tm
0.1648 0.3297 0.0419 Tm
0.5059 0.0119 0.6216 Tm
0.4941 0.9881 0.3784 Tm
```

Values from the calculation:
As for the space group: Cmcm (63).

Energy above the most stable structure, in meV per atom: version one 323; version two 0

Version one
Density functional theory data (PBE) for a relaxed Y2Er4Tm5 crystal.

The structure in POSCAR format:
```
Y2Er4Tm5
1.0
-0.1196 -2.3716 2.5550
-5.0465 -4.8583 -4.7460
13.9445 0.1367 -1.6012
Y Er Tm
2 4 5
direct
0.7239 0.6204 0.4477 Y
0.2761 0.3796 0.5523 Y
0.5878 0.4851 0.1757 Er
0.0390 0.7353 0.0779 Er
0.4122 0.5149 0.8243 Er
0.9610 0.2646 0.9221 Er
0.1848 0.8979 0.3696 Tm
0.8152 0.1021 0.6304 Tm
0.1290 0.2124 0.2579 Tm
0.5000 0.0000 0.0000 Tm
0.8710 0.7876 0.7421 Tm
```

Values from the calculation:
As for the space group: C2/m (12).

Version two
Density functional theory data (PBE) for a relaxed Y2Er4Tm5 crystal.

The structure in POSCAR format:
```
Y2Er4Tm5
1.0
-2.7866 -1.5527 -1.4485
0.9310 -2.1472 8.9870
-7.0994 9.2230 -0.4605
Y Er Tm
2 4 5
direct
0.8629 0.2717 0.8177 Y
0.1371 0.7283 0.1823 Y
0.7731 0.4550 0.3644 Er
0.3164 0.3624 0.0920 Er
0.2269 0.5450 0.6356 Er
0.6836 0.6376 0.9080 Er
0.9563 0.0926 0.2733 Tm
0.0437 0.9074 0.7267 Tm
0.5912 0.8194 0.4562 Tm
0.5000 0.0000 0.0000 Tm
0.4088 0.1806 0.5438 Tm
```

Values from the calculation:
As for the space group: C2/m (12).

Energy above the most stable structure, in meV per atom: version one 78; version two 0

Version one
Density functional theory data (PBE) for a relaxed Y2Er7Tm3 crystal.

The structure in POSCAR format:
```
Y2Er7Tm3
1.0
3.4792 0.0000 0.0000
0.0000 6.2091 0.7411
0.0000 2.3108 17.5071
Y Er Tm
2 7 3
direct
0.5000 0.6114 0.3264 Y
0.5000 0.3886 0.6736 Y
0.5000 0.2428 0.5013 Er
0.5000 0.7572 0.4987 Er
0.0000 0.5602 0.1642 Er
0.0000 0.0000 0.0000 Er
0.0000 0.4398 0.8358 Er
0.5000 0.9422 0.8323 Er
0.5000 0.0578 0.1677 Er
0.5000 0.5000 0.0000 Tm
0.0000 0.1049 0.3432 Tm
0.0000 0.8951 0.6568 Tm
```

Values from the calculation:
As for the space group: P2/m (10).

Version two
Density functional theory data (PBE) for a relaxed Y2Er7Tm3 crystal.

The structure in POSCAR format:
```
Y2Er7Tm3
1.0
-3.2643 1.1413 0.8401
-2.0745 -5.2869 -0.8782
4.1464 -1.5235 18.1808
Y Er Tm
2 7 3
direct
0.0000 0.8243 0.6486 Y
0.0000 0.1757 0.3514 Y
0.0000 0.4278 0.8556 Er
0.0000 0.7294 0.4588 Er
0.0000 0.0000 0.0000 Er
0.0000 0.5722 0.1444 Er
0.5000 0.0900 0.1800 Er
0.5000 0.9100 0.8200 Er
0.0000 0.2706 0.5412 Er
0.5000 0.5000 0.0000 Tm
0.5000 0.6497 0.2994 Tm
0.5000 0.3503 0.7006 Tm
```

Values from the calculation:
As for the space group: Cmmm (65).

Energy above the most stable structure, in meV per atom: version one 0; version two 75

Version one
Density functional theory data (PBE) for a relaxed YErTm2 crystal.

The structure in POSCAR format:
```
YErTm2
1.0
5.6160 0.0000 0.0000
2.8080 4.8636 0.0000
2.8080 1.6212 4.5854
Y Tm Er
1 2 1
direct
0.0000 0.0000 0.0000 Y
0.2500 0.2500 0.2500 Tm
0.7500 0.7500 0.7500 Tm
0.5000 0.5000 0.5000 Er
```

Values from the calculation:
As for the space group: Fm-3m (225).

Version two
Density functional theory data (PBE) for a relaxed YErTm2 crystal.

The structure in POSCAR format:
```
YErTm2
1.0
4.9661 0.0000 0.0000
0.0000 4.9721 0.0000
0.0000 0.0000 4.9721
Y Tm Er
1 2 1
direct
0.5000 0.0000 0.0000 Y
0.0000 0.0000 0.5000 Tm
0.0000 0.5000 0.0000 Tm
0.5000 0.5000 0.5000 Er
```

Values from the calculation:
As for the space group: P4/mmm (123).

Version three
Density functional theory data (PBE) for a relaxed YErTm2 crystal.

The structure in POSCAR format:
```
YErTm2
1.0
3.5446 0.0000 0.0000
1.7723 3.0697 0.0000
1.7723 1.0232 11.3068
Y Er Tm
1 1 2
direct
0.5006 0.5006 0.4983 Y
0.6662 0.6662 0.0013 Er
0.0829 0.0829 0.7514 Tm
0.2503 0.2503 0.2490 Tm
```

Values from the calculation:
As for the space group: R3m (160).

Energy above the most stable structure, in meV per atom: version one 124; version two 15; version three 0

Version one
Density functional theory data (PBE) for a relaxed Y2Er2Tm3 crystal.

The structure in POSCAR format:
```
Y2Er2Tm3
1.0
-5.0443 -6.5975 0.5664
-0.4067 3.1514 -7.6939
7.8207 -2.3386 1.6308
Y Er Tm
4 4 6
direct
0.0000 0.0000 0.8082 Y
0.5000 0.8082 0.5000 Y
0.1918 0.6918 0.6918 Y
0.3082 0.5000 0.0000 Y
0.0000 0.0000 0.4070 Er
0.5000 0.4070 0.5000 Er
0.5930 0.0930 0.0930 Er
0.9070 0.5000 0.0000 Er
0.6881 0.7500 0.9381 Tm
0.8119 0.2500 0.5619 Tm
0.0619 0.3119 0.2500 Tm
0.4381 0.1881 0.7500 Tm
0.2500 0.9381 0.1881 Tm
0.7500 0.5619 0.3119 Tm
```

Values from the calculation:
As for the space group: I2_13 (199).

Version two
Density functional theory data (PBE) for a relaxed Y2Er2Tm3 crystal.

The structure in POSCAR format:
```
Y2Er2Tm3
1.0
-1.9469 -1.4944 2.5081
6.8877 -4.4292 2.7076
0.3312 7.5317 2.2898
Y Er Tm
2 2 3
direct
0.4282 0.2855 0.8565 Y
0.5718 0.7145 0.1435 Y
0.1441 0.4275 0.2883 Er
0.8559 0.5725 0.7117 Er
0.0000 0.0000 0.0000 Tm
0.2867 0.8582 0.5734 Tm
0.7133 0.1418 0.4266 Tm
```

Values from the calculation:
As for the space group: C2/m (12).

Energy above the most stable structure, in meV per atom: version one 221; version two 0

Version one
Density functional theory data (PBE) for a relaxed Y2Er5Tm3 crystal.

The structure in POSCAR format:
```
Y2Er5Tm3
1.0
6.1763 0.0000 0.0000
3.0881 10.1654 -2.9256
3.0881 -0.1231 10.5773
Y Er Tm
4 10 6
direct
0.0986 0.7444 0.0584 Y
0.9014 0.2556 0.9416 Y
0.5986 0.0584 0.7444 Y
0.4014 0.9416 0.2556 Y
0.2500 0.5000 0.5000 Er
0.7500 0.5000 0.5000 Er
0.5002 0.7498 0.7498 Er
0.9998 0.2502 0.2502 Er
0.4998 0.2502 0.2502 Er
0.0002 0.7498 0.7498 Er
0.0999 0.5561 0.2441 Er
0.9001 0.4439 0.7559 Er
0.5999 0.2441 0.5561 Er
0.4001 0.7559 0.4439 Er
0.2500 0.0000 0.0000 Tm
0.7500 0.0000 0.0000 Tm
0.3402 0.4117 0.9080 Tm
0.6598 0.5883 0.0920 Tm
0.8402 0.9080 0.4117 Tm
0.1598 0.0920 0.5883 Tm
```

Values from the calculation:
As for the space group: Ibam (72).

Version two
Density functional theory data (PBE) for a relaxed Y2Er5Tm3 crystal.

The structure in POSCAR format:
```
Y2Er5Tm3
1.0
-9.8052 -3.9882 -0.1821
-1.7665 -6.9263 6.3546
3.7211 10.3179 1.6376
Y Er Tm
4 10 6
direct
0.7946 0.9952 0.7470 Y
0.2054 0.0048 0.2530 Y
0.4524 0.7518 0.7470 Y
0.5476 0.2482 0.2530 Y
0.2469 0.4969 0.9937 Er
0.7531 0.5031 0.0063 Er
0.9982 0.7482 0.4964 Er
0.5365 0.2865 0.5729 Er
0.0018 0.2518 0.5036 Er
0.4635 0.7135 0.4271 Er
0.8181 0.5981 0.7417 Er
0.1819 0.4019 0.2583 Er
0.4237 0.1436 0.7417 Er
0.5763 0.8564 0.2583 Er
0.2239 0.9739 0.9477 Tm
0.7761 0.0261 0.0523 Tm
0.6991 0.4674 0.2458 Tm
0.3009 0.5326 0.7542 Tm
0.0467 0.7784 0.2458 Tm
0.9533 0.2216 0.7542 Tm
```

Values from the calculation:
As for the space group: C2/c (15).

Energy above the most stable structure, in meV per atom: version one 145; version two 0

Version one
Density functional theory data (PBE) for a relaxed Y7Er2Tm3 crystal.

The structure in POSCAR format:
```
Y7Er2Tm3
1.0
3.5675 0.0000 0.0000
0.0000 5.7461 0.2369
0.0000 -1.9878 18.4648
Y Er Tm
7 2 3
direct
0.5000 0.7419 0.4636 Y
0.5000 0.2581 0.5364 Y
0.0000 0.6788 0.1440 Y
0.0000 0.0000 0.0000 Y
0.0000 0.3212 0.8560 Y
0.5000 0.8168 0.8179 Y
0.5000 0.1832 0.1821 Y
0.5000 0.7058 0.2957 Er
0.5000 0.2942 0.7043 Er
0.5000 0.5000 0.0000 Tm
0.0000 0.2196 0.3673 Tm
0.0000 0.7804 0.6327 Tm
```

Values from the calculation:
As for the space group: P2/m (10).

Version two
Density functional theory data (PBE) for a relaxed Y7Er2Tm3 crystal.

The structure in POSCAR format:
```
Y7Er2Tm3
1.0
3.5006 0.0000 0.0000
0.0000 6.2586 0.7474
0.0000 2.3876 17.6533
Y Er Tm
7 2 3
direct
0.5000 0.2422 0.5022 Y
0.5000 0.7578 0.4978 Y
0.0000 0.5575 0.1662 Y
0.0000 0.0000 0.0000 Y
0.0000 0.4425 0.8338 Y
0.5000 0.9451 0.8302 Y
0.5000 0.0549 0.1698 Y
0.5000 0.6110 0.3274 Er
0.5000 0.3890 0.6726 Er
0.5000 0.5000 0.0000 Tm
0.0000 0.1070 0.3426 Tm
0.0000 0.8930 0.6574 Tm
```

Values from the calculation:
As for the space group: P2/m (10).

Energy above the most stable structure, in meV per atom: version one 12; version two 0